[1]
# Ho6Zn5Ge PBE optimized geometry
data_Ho6Zn5Ge
_chemical_formula_sum 'Ho12 Zn10 Ge2'
_space_group_name_H-M_alt 'C m m m'
_space_group_IT_number 65
_space_group_name_Hall '-C 2 2'
_cell_length_a 5.014
_cell_length_b 15.132
_cell_length_c 7.060
_cell_angle_alpha 90.00
_cell_angle_beta 90.00
_cell_angle_gamma 90.00
loop_
_atom_site_label
_atom_site_fract_x
_atom_site_fract_y
_atom_site_fract_z
Ho1 0.000 0.000 0.246
Ho2 0.000 0.335 0.251
Zn1 0.000 0.167 0.500
Zn2 0.000 0.177 0.000
Zn3 0.000 0.500 0.500
Ge1 0.000 0.500 0.000
# Crystal system: orthorhombic
# Formation energy, eV per atom: -0.420


[2]
# Ho2Zn16Ge PBE optimized geometry
data_Ho2Zn16Ge
_chemical_formula_sum 'Ho6 Zn48 Ge3'
_space_group_name_H-M_alt 'R 3 m'
_space_group_IT_number 160
_space_group_name_Hall 'R 3 -2"'
_cell_length_a 9.0792
_cell_length_b 9.0792
_cell_length_c 12.9483
_cell_angle_alpha 90.00
_cell_angle_beta 90.00
_cell_angle_gamma 120.00
loop_
_atom_site_label
_atom_site_fract_x
_atom_site_fract_y
_atom_site_fract_z
Ho1 0.0000 0.0000 0.0000
Ho2 0.0000 0.0000 0.3324
Zn1 0.0000 0.0000 0.5714
Zn2 0.0000 0.3098 0.6667
Zn3 0.0103 0.5052 0.8231
Zn4 0.0109 0.5055 0.1662
Zn5 0.1737 0.3474 0.8443
Ge1 0.0000 0.0000 0.7695
# Crystal system: trigonal
# Formation energy, eV per atom: -0.206


[3]
# Ho2ZnGe PBE optimized geometry
data_Ho2ZnGe
_chemical_formula_sum 'Ho4 Zn2 Ge2'
_space_group_name_H-M_alt 'P 1 21/m 1'
_space_group_IT_number 11
_space_group_name_Hall '-P 2yb'
_cell_length_a 5.783
_cell_length_b 4.080
_cell_length_c 8.283
_cell_angle_alpha 90.00
_cell_angle_beta 109.04
_cell_angle_gamma 90.00
loop_
_atom_site_label
_atom_site_fract_x
_atom_site_fract_y
_atom_site_fract_z
Ho1 0.212 0.250 0.429
Ho2 0.288 0.750 0.069
Zn1 0.363 0.750 0.712
Ge1 0.133 0.250 0.789
# Crystal system: monoclinic
# Formation energy, eV per atom: -0.607


[4]
# Ho3Zn3Ge PBE optimized geometry
data_Ho3Zn3Ge
_chemical_formula_sum 'Ho6 Zn6 Ge2'
_space_group_name_H-M_alt 'I m m 2'
_space_group_IT_number 44
_space_group_name_Hall 'I 2 -2'
_cell_length_a 3.962
_cell_length_b 4.186
_cell_length_c 18.706
_cell_angle_alpha 90.00
_cell_angle_beta 90.00
_cell_angle_gamma 90.00
loop_
_atom_site_label
_atom_site_fract_x
_atom_site_fract_y
_atom_site_fract_z
Ho1 0.000 0.000 0.000
Ho2 0.000 0.000 0.376
Ho3 0.000 0.500 0.196
Zn1 0.000 0.000 0.548
Zn2 0.000 0.000 0.834
Zn3 0.000 0.500 0.623
Ge1 0.000 0.500 0.755
# Crystal system: orthorhombic
# Formation energy, eV per atom: -0.441


[5]
# HoZrGe PBE optimized geometry
data_HoZrGe
_chemical_formula_sum 'Ho4 Zr4 Ge4'
_space_group_name_H-M_alt 'I 4/m m m'
_space_group_IT_number 139
_space_group_name_Hall '-I 4 2'
_cell_length_a 4.141
_cell_length_b 4.141
_cell_length_c 15.950
_cell_angle_alpha 90.00
_cell_angle_beta 90.00
_cell_angle_gamma 90.00
loop_
_atom_site_label
_atom_site_fract_x
_atom_site_fract_y
_atom_site_fract_z
Ho1 0.000 0.000 0.177
Zr1 0.000 0.500 0.000
Ge1 0.000 0.000 0.368
# Crystal system: tetragonal
# Formation energy, eV per atom: -0.693


[6]
# HoZr2Ge2 PBE optimized geometry
data_HoZr2Ge2
_chemical_formula_sum 'Ho4 Zr8 Ge8'
_space_group_name_H-M_alt 'C 1 2/c 1'
_space_group_IT_number 15
_space_group_name_Hall '-C 2yc'
_cell_length_a 9.252
_cell_length_b 10.729
_cell_length_c 5.645
_cell_angle_alpha 90.00
_cell_angle_beta 121.17
_cell_angle_gamma 90.00
loop_
_atom_site_label
_atom_site_fract_x
_atom_site_fract_y
_atom_site_fract_z
Ho1 0.000 0.110 0.250
Zr1 0.173 0.398 0.982
Ge1 0.000 0.174 0.750
Ge2 0.000 0.379 0.250
# Crystal system: monoclinic
# Formation energy, eV per atom: -0.398


[7]
# Ho5ZrGe4 PBE optimized geometry
data_Ho5ZrGe4
_chemical_formula_sum 'Ho10 Zr2 Ge8'
_space_group_name_H-M_alt 'I m m m'
_space_group_IT_number 71
_space_group_name_Hall '-I 2 2'
_cell_length_a 4.175
_cell_length_b 7.527
_cell_length_c 16.828
_cell_angle_alpha 90.00
_cell_angle_beta 90.00
_cell_angle_gamma 90.00
loop_
_atom_site_label
_atom_site_fract_x
_atom_site_fract_y
_atom_site_fract_z
Ho1 0.000 0.000 0.000
Ho2 0.000 0.253 0.334
Zr1 0.000 0.500 0.000
Ge1 0.000 0.241 0.500
Ge2 0.000 0.500 0.184
# Crystal system: orthorhombic
# Formation energy, eV per atom: -0.568


[8]
# Ho2ZrGe3 PBE optimized geometry
data_Ho2ZrGe3
_chemical_formula_sum 'Ho4 Zr2 Ge6'
_space_group_name_H-M_alt 'I m m m'
_space_group_IT_number 71
_space_group_name_Hall '-I 2 2'
_cell_length_a 4.041
_cell_length_b 5.702
_cell_length_c 12.086
_cell_angle_alpha 90.00
_cell_angle_beta 90.00
_cell_angle_gamma 90.00
loop_
_atom_site_label
_atom_site_fract_x
_atom_site_fract_y
_atom_site_fract_z
Ho1 0.000 0.000 0.170
Zr1 0.000 0.000 0.500
Ge1 0.000 0.500 0.156
Ge2 0.000 0.500 0.500
# Crystal system: orthorhombic
# Formation energy, eV per atom: -0.683


[9]
# Ho2Zr3Ge4 PBE optimized geometry
data_Ho2Zr3Ge4
_chemical_formula_sum 'Ho4 Zr6 Ge8'
_space_group_name_H-M_alt 'P 1 21/c 1'
_space_group_IT_number 14
_space_group_name_Hall '-P 2ybc'
_cell_length_a 7.444
_cell_length_b 7.437
_cell_length_c 7.230
_cell_angle_alpha 90.00
_cell_angle_beta 109.48
_cell_angle_gamma 90.00
loop_
_atom_site_label
_atom_site_fract_x
_atom_site_fract_y
_atom_site_fract_z
Ho1 0.189 0.173 0.066
Zr1 0.252 0.677 0.248
Zr2 0.500 0.000 0.500
Ge1 0.082 0.534 0.854
Ge2 0.487 0.132 0.864
# Crystal system: monoclinic
# Formation energy, eV per atom: -0.890


[10]
# HoZrGe PBE optimized geometry
data_HoZrGe
_chemical_formula_sum 'Ho9 Zr9 Ge9'
_space_group_name_H-M_alt 'R 3'
_space_group_IT_number 146
_space_group_name_Hall 'R 3'
_cell_length_a 6.6049
_cell_length_b 6.6049
_cell_length_c 18.1628
_cell_angle_alpha 90.00
_cell_angle_beta 90.00
_cell_angle_gamma 120.00
loop_
_atom_site_label
_atom_site_fract_x
_atom_site_fract_y
_atom_site_fract_z
Ho1 0.0048 0.6220 0.0000
Zr1 0.0073 0.3667 0.4961
Ge1 0.0000 0.0000 0.0730
Ge2 0.0000 0.0000 0.5607
Ge3 0.0000 0.0000 0.9230
# Crystal system: trigonal
# Formation energy, eV per atom: -0.277


[11]
# GeI PBE optimized geometry
data_GeI
_chemical_formula_sum 'Ge6 I6'
_space_group_name_H-M_alt 'P m n 21'
_space_group_IT_number 31
_space_group_name_Hall 'P 2ac -2'
_cell_length_a 12.874
_cell_length_b 4.814
_cell_length_c 7.757
_cell_angle_alpha 90.00
_cell_angle_beta 90.00
_cell_angle_gamma 90.00
loop_
_atom_site_label
_atom_site_fract_x
_atom_site_fract_y
_atom_site_fract_z
Ge1 0.000 0.026 0.000
Ge2 0.121 0.926 0.279
I1 0.000 0.542 0.484
I2 0.157 0.530 0.024
# Crystal system: orthorhombic
# Distance to the lowest polymorph of the same formula, meV per atom: 232
# Energy relative to the elements, uncorrected, meV per atom: 92


[12]
# GeI PBE optimized geometry
data_GeI
_chemical_formula_sum 'Ge4 I4'
_space_group_name_H-M_alt 'P 42/m n m'
_space_group_IT_number 136
_space_group_name_Hall '-P 4n 2n'
_cell_length_a 9.187
_cell_length_b 9.187
_cell_length_c 3.964
_cell_angle_alpha 90.00
_cell_angle_beta 90.00
_cell_angle_gamma 90.00
loop_
_atom_site_label
_atom_site_fract_x
_atom_site_fract_y
_atom_site_fract_z
Ge1 0.098 0.098 0.000
I1 0.210 0.790 0.000
# Crystal system: tetragonal
# Distance to the lowest polymorph of the same formula, meV per atom: 413
# Energy relative to the elements, uncorrected, meV per atom: 273


Calculated total magnetization (μB per formula unit), listed in the same order as above: 0.0, 0.0, 0.0, 0.0, 0.0, 0.6, 0.0, 0.0, 0.0, 0.0, 0.0, 0.0